No. 1
# TlCd3Se

Crystalline TlCd3Se at its relaxed geometry (PBE, Alexandria via LeMat-Bulk).

The value obtained for the spin magnetization is 0.00 μB per formula unit. For the polymorph energy (0 for the lowest one), the calculation gives 0 meV per atom. The calculated volume comes out at 33.2 A^3/atom. The calculation puts the formation energy without anion corrections at 249 meV/atom.

Cell: 5.4944 5.4944 5.4944 Å, 90.00 90.00 90.00°
Closest atoms and distances in Å follow each position.
Sites, in units of the cell vectors:
Tl (0.0000, 0.0000, 0.0000)  12 Cd 3.89
Cd (0.0000, 0.5000, 0.5000)  2 Se 2.75
Cd (0.5000, 0.0000, 0.5000)  2 Se 2.75
Cd (0.5000, 0.5000, 0.0000)  2 Se 2.75
Se (0.5000, 0.5000, 0.5000)  6 Cd 2.75

No. 2
# Mg2Co2Ru

Crystalline Mg2Co2Ru at its relaxed geometry (PBE, Alexandria via LeMat-Bulk).

The value obtained for the spin magnetization is 2.29 μB per formula unit. For the formation enthalpy at 0 K, the calculation gives 72 kJ/mol of formula units. The calculated volume comes out at 15.1 A^3/atom.

Cell: 6.0687 6.0687 4.1000 Å, 90.00 90.00 90.00°
Closest atoms and distances in Å follow each position.
Sites, in units of the cell vectors:
Mg (0.1796, 0.3204, 0.0000)  6 Co 2.64-2.78
Mg (0.3204, 0.8204, 0.0000)  6 Co 2.64-2.78
Mg (0.6796, 0.1796, 0.0000)  6 Co 2.64-2.78
Mg (0.8204, 0.6796, 0.0000)  6 Co 2.64-2.78
Co (0.1257, 0.6257, 0.5000)  1 Co 2.16, 2 Ru 2.40
Co (0.3743, 0.1257, 0.5000)  1 Co 2.16, 2 Ru 2.40
Co (0.6257, 0.8743, 0.5000)  1 Co 2.16, 2 Ru 2.40
Co (0.8743, 0.3743, 0.5000)  1 Co 2.16, 2 Ru 2.40
Ru (0.0000, 0.0000, 0.5000)  4 Co 2.40
Ru (0.5000, 0.5000, 0.5000)  4 Co 2.40

No. 3
# TlCd2AgS4

Crystalline TlCd2AgS4 at its relaxed geometry (PBE, Alexandria via LeMat-Bulk).

The value obtained for the spin magnetization is 0.00 μB per formula unit. The calculated volume comes out at 26.2 A^3/atom. The calculation puts the formation energy without anion corrections at -383 meV/atom.

Cell: 5.9661 5.9661 11.7828 Å, 90.00 90.00 90.00°
Closest atoms and distances in Å follow each position.
Sites, in units of the cell vectors:
Tl (0.0000, 0.0000, 0.0000)  4 S 2.59
Tl (0.5000, 0.5000, 0.5000)  4 S 2.59
Cd (0.0000, 0.5000, 0.2500)  4 S 2.57
Cd (0.0000, 0.5000, 0.7500)  4 S 2.57
Cd (0.5000, 0.0000, 0.2500)  4 S 2.57
Cd (0.5000, 0.0000, 0.7500)  4 S 2.57
Ag (0.0000, 0.0000, 0.5000)  4 S 2.57
Ag (0.5000, 0.5000, 0.0000)  4 S 2.57
S (0.2487, 0.2487, 0.6255)  1 Ag 2.57, 2 Cd 2.57, 1 Tl 2.59
S (0.2487, 0.7513, 0.3745)  1 Ag 2.57, 2 Cd 2.57, 1 Tl 2.59
S (0.2513, 0.2513, 0.1255)  1 Ag 2.57, 2 Cd 2.57, 1 Tl 2.59
S (0.2513, 0.7487, 0.8745)  1 Ag 2.57, 2 Cd 2.57, 1 Tl 2.59
S (0.7487, 0.2513, 0.8745)  1 Ag 2.57, 2 Cd 2.57, 1 Tl 2.59
S (0.7487, 0.7487, 0.1255)  1 Ag 2.57, 2 Cd 2.57, 1 Tl 2.59
S (0.7513, 0.2487, 0.3745)  1 Ag 2.57, 2 Cd 2.57, 1 Tl 2.59
S (0.7513, 0.7513, 0.6255)  1 Ag 2.57, 2 Cd 2.57, 1 Tl 2.59

No. 4
# Mg2Si3

Crystalline Mg2Si3 at its relaxed geometry (PBE, Alexandria via LeMat-Bulk).

The value obtained for the spin magnetization is 0.00 μB per formula unit. For the polymorph energy (0 for the lowest one), the calculation gives 38 meV per atom. The calculated volume comes out at 19.3 A^3/atom. The calculation puts the formation energy without anion corrections at 67 meV/atom.

Cell: 6.1961 6.1961 17.1559 Å, 96.85 96.85 36.30°
Closest atoms and distances in Å follow each position.
Sites, in units of the cell vectors:
Mg (0.0000, 0.0000, 0.0000)  6 Si 2.79-2.88, 2 Mg 3.06-3.09
Mg (0.5121, 0.5121, 0.4999)  7 Si 2.76-2.87, 1 Mg 3.05
Mg (0.5420, 0.5420, 0.3258)  4 Si 2.71-2.82
Mg (0.7126, 0.7126, 0.0009)  8 Si 2.82-2.90, 2 Mg 3.16
Mg (0.7536, 0.7536, 0.6718)  4 Si 2.68-2.86, 2 Mg 2.97-3.00
Mg (0.7887, 0.7887, 0.5017)  7 Si 2.77-2.88, 1 Mg 3.00
Mg (0.8964, 0.8964, 0.8271)  6 Si 2.76-3.09, 2 Mg 2.97-3.06
Mg (0.9670, 0.9670, 0.1757)  6 Si 2.75-3.07
Si (0.1395, 0.1395, 0.4270)  2 Si 2.43-2.46
Si (0.1407, 0.1407, 0.8782)  3 Si 2.41-2.46
Si (0.1603, 0.1603, 0.5714)  2 Si 2.43-2.46
Si (0.1809, 0.1809, 0.1214)  3 Si 2.42-2.43
Si (0.3278, 0.3278, 0.3835)  3 Si 2.42-2.43
Si (0.3440, 0.3440, 0.9322)  2 Si 2.42-2.46
Si (0.3672, 0.3672, 0.0745)  2 Si 2.42-2.43
Si (0.4564, 0.4564, 0.7040)  3 Si 2.43-2.46
Si (0.6327, 0.6327, 0.7941)  3 Si 2.41-2.43, 1 Mg 2.68
Si (0.6706, 0.6706, 0.2052)  3 Si 2.40-2.42
Si (0.8392, 0.8392, 0.2996)  3 Si 2.40-2.42
Si (0.9740, 0.9740, 0.6179)  3 Si 2.43-2.46

No. 5
# TmBi4Pd15

Crystalline TmBi4Pd15 at its relaxed geometry (PBE, Alexandria via LeMat-Bulk).

The value obtained for the spin magnetization is 0.00 μB per formula unit. For the formation enthalpy at 0 K, the calculation gives -720 kJ/mol of formula units. The calculated volume comes out at 17.6 A^3/atom.

Cell: 4.1322 4.1322 20.6305 Å, 90.00 90.00 90.00°
Closest atoms and distances in Å follow each position.
Sites, in units of the cell vectors:
Tm (0.0000, 0.0000, 0.0000)  12 Pd 2.89-2.92
Bi (0.0000, 0.0000, 0.1968)  12 Pd 2.90-2.95
Bi (0.0000, 0.0000, 0.3992)  12 Pd 2.92-2.93
Bi (0.0000, 0.0000, 0.6008)  12 Pd 2.92-2.93
Bi (0.0000, 0.0000, 0.8032)  12 Pd 2.90-2.95
Pd (0.0000, 0.5000, 0.0982)  2 Tm 2.89, 8 Pd 2.89-2.96, 2 Bi 2.90
Pd (0.0000, 0.5000, 0.2990)  8 Pd 2.89-2.93, 4 Bi 2.92-2.95
Pd (0.0000, 0.5000, 0.5000)  8 Pd 2.92-2.93, 4 Bi 2.93
Pd (0.0000, 0.5000, 0.7010)  8 Pd 2.89-2.93, 4 Bi 2.92-2.95
Pd (0.0000, 0.5000, 0.9018)  2 Tm 2.89, 8 Pd 2.89-2.96, 2 Bi 2.90
Pd (0.5000, 0.0000, 0.0982)  2 Tm 2.89, 8 Pd 2.89-2.96, 2 Bi 2.90
Pd (0.5000, 0.0000, 0.2990)  8 Pd 2.89-2.93, 4 Bi 2.92-2.95
Pd (0.5000, 0.0000, 0.5000)  8 Pd 2.92-2.93, 4 Bi 2.93
Pd (0.5000, 0.0000, 0.7010)  8 Pd 2.89-2.93, 4 Bi 2.92-2.95
Pd (0.5000, 0.0000, 0.9018)  2 Tm 2.89, 8 Pd 2.89-2.96, 2 Bi 2.90
Pd (0.5000, 0.5000, 0.0000)  8 Pd 2.89, 4 Tm 2.92
Pd (0.5000, 0.5000, 0.2008)  8 Pd 2.89-2.96, 4 Bi 2.92
Pd (0.5000, 0.5000, 0.3994)  4 Bi 2.92, 8 Pd 2.93
Pd (0.5000, 0.5000, 0.6006)  4 Bi 2.92, 8 Pd 2.93
Pd (0.5000, 0.5000, 0.7992)  8 Pd 2.89-2.96, 4 Bi 2.92

No. 6
# Sc3In2Ag

Crystalline Sc3In2Ag at its relaxed geometry (PBE, Alexandria via LeMat-Bulk).

The value obtained for the spin magnetization is 0.03 μB per formula unit. For the polymorph energy (0 for the lowest one), the calculation gives 0 meV per atom. For the formation enthalpy at 0 K, the calculation gives -226 kJ/mol of formula units. The calculated volume comes out at 21.8 A^3/atom.

Cell: 3.3706 3.3706 11.5196 Å, 90.00 90.00 90.00°
Closest atoms and distances in Å follow each position.
Sites, in units of the cell vectors:
Sc (0.0000, 0.0000, 0.0000)  8 In 3.12, 4 Sc 3.37
Sc (0.0000, 0.0000, 0.3485)  4 Ag 2.95, 4 In 3.11
Sc (0.0000, 0.0000, 0.6515)  4 Ag 2.95, 4 In 3.11
In (0.5000, 0.5000, 0.1753)  8 Sc 3.11-3.12, 4 In 3.37
In (0.5000, 0.5000, 0.8247)  8 Sc 3.11-3.12, 4 In 3.37
Ag (0.5000, 0.5000, 0.5000)  8 Sc 2.95

No. 7
# Ti2SiOsN

Crystalline Ti2SiOsN at its relaxed geometry (PBE, Alexandria via LeMat-Bulk).

The value obtained for the spin magnetization is 0.00 μB per formula unit. The calculated volume comes out at 12.7 A^3/atom. The calculation puts the formation energy without anion corrections at -577 meV/atom.

Cell: 4.1212 4.1212 3.7242 Å, 90.00 90.00 90.00°
Closest atoms and distances in Å follow each position.
Sites, in units of the cell vectors:
Ti (0.0000, 0.5000, 0.0000)  2 N 2.06
Ti (0.5000, 0.0000, 0.0000)  2 N 2.06
Si (0.0000, 0.0000, 0.5000)  2 N 1.86
Os (0.5000, 0.5000, 0.5000)  8 Ti 2.78, 4 Si 2.91
N (0.0000, 0.0000, 0.0000)  2 Si 1.86, 4 Ti 2.06

No. 8
# K2CaRh2

Crystalline K2CaRh2 at its relaxed geometry (PBE, Alexandria via LeMat-Bulk).

The value obtained for the spin magnetization is 1.70 μB per formula unit. For the polymorph energy (0 for the lowest one), the calculation gives 173 meV per atom. For the formation enthalpy at 0 K, the calculation gives 279 kJ/mol of formula units. The calculated volume comes out at 28.3 A^3/atom.

Cell: 4.3910 4.3910 14.6811 Å, 90.00 90.00 90.00°
Closest atoms and distances in Å follow each position.
Sites, in units of the cell vectors:
K (0.0000, 0.5000, 0.2500)  4 K 3.10, 4 Rh 3.30
K (0.0000, 0.5000, 0.7500)  4 K 3.10, 4 Rh 3.30
K (0.5000, 0.0000, 0.2500)  4 K 3.10, 4 Rh 3.30
K (0.5000, 0.0000, 0.7500)  4 K 3.10, 4 Rh 3.30
Ca (0.0000, 0.0000, 0.0000)  8 Rh 3.33
Ca (0.5000, 0.5000, 0.5000)  8 Rh 3.33
Rh (0.0000, 0.0000, 0.4175)  1 Rh 2.42
Rh (0.0000, 0.0000, 0.5825)  1 Rh 2.42
Rh (0.5000, 0.5000, 0.0825)  1 Rh 2.42
Rh (0.5000, 0.5000, 0.9175)  1 Rh 2.42

No. 9
# K2TiGeS5

Crystalline K2TiGeS5 at its relaxed geometry (PBE, Alexandria via LeMat-Bulk).

The value obtained for the spin magnetization is 0.00 μB per formula unit. The calculated volume comes out at 25.9 A^3/atom. The calculation puts the formation energy without anion corrections at -1018 meV/atom.

Cell: 9.5283 9.5283 13.6327 Å, 90.00 90.00 157.86°
Closest atoms and distances in Å follow each position.
Sites, in units of the cell vectors:
K (0.1247, 0.8753, 0.5000)  5 S 3.18-3.26
K (0.1296, 0.8704, 0.1346)  6 S 3.19-3.25
K (0.8704, 0.1296, 0.6346)  6 S 3.19-3.25
K (0.8753, 0.1247, 0.0000)  5 S 3.18-3.26
Ti (0.2152, 0.7848, 0.8521)  3 S 2.18-2.40
Ti (0.7848, 0.2152, 0.3521)  3 S 2.18-2.40
Ge (0.4322, 0.5678, 0.2447)  4 S 2.13-2.33
Ge (0.5678, 0.4322, 0.7447)  4 S 2.13-2.33
S (0.0554, 0.9446, 0.8496)  2 Ge 2.33
S (0.2973, 0.7027, 0.4649)  2 Ti 2.40
S (0.3127, 0.6873, 0.2213)  1 Ge 2.26
S (0.3294, 0.6706, 0.8194)  1 Ti 2.18
S (0.4911, 0.5089, 0.1107)  1 Ge 2.13
S (0.5089, 0.4911, 0.6107)  1 Ge 2.13
S (0.6706, 0.3294, 0.3194)  1 Ti 2.18
S (0.6873, 0.3127, 0.7213)  1 Ge 2.26
S (0.7027, 0.2973, 0.9649)  2 Ti 2.40
S (0.9446, 0.0554, 0.3496)  2 Ge 2.33

No. 10
# NbHS2N

Crystalline NbHS2N at its relaxed geometry (PBE, Alexandria via LeMat-Bulk).

The value obtained for the spin magnetization is 2.24 μB per formula unit. For the polymorph energy (0 for the lowest one), the calculation gives 0 meV per atom. The calculated volume comes out at 19.2 A^3/atom.

Cell: 4.8576 4.8576 4.0737 Å, 90.00 90.00 90.00°
Closest atoms and distances in Å follow each position.
Sites, in units of the cell vectors:
Nb (0.0000, 0.0000, 0.0000)  2 N 2.04
H (0.5000, 0.5000, 0.5000)  8 S 3.17, 4 N 3.43
S (0.0000, 0.5000, 0.0000)  2 Nb 2.43
S (0.5000, 0.0000, 0.0000)  2 Nb 2.43
N (0.0000, 0.0000, 0.5000)  2 Nb 2.04

No. 11
# Tb2TmZn

Crystalline Tb2TmZn at its relaxed geometry (PBE, Alexandria via LeMat-Bulk).

The value obtained for the spin magnetization is 0.00 μB per formula unit. For the polymorph energy (0 for the lowest one), the calculation gives 406 meV per atom. For the formation enthalpy at 0 K, the calculation gives 97 kJ/mol of formula units. The calculated volume comes out at 30.1 A^3/atom.

Cell: 3.4390 3.4390 35.2622 Å, 90.00 90.00 120.00°
Closest atoms and distances in Å follow each position.
Sites, in units of the cell vectors:
Tb (0.0000, 0.0000, 0.0872)  1 Zn 3.07, 3 Tm 3.44, 6 Tb 3.44
Tb (0.0000, 0.0000, 0.9128)  1 Zn 3.07, 3 Tm 3.44, 6 Tb 3.44
Tb (0.3333, 0.6667, 0.5795)  1 Zn 3.07, 3 Tm 3.44, 6 Tb 3.44
Tb (0.3333, 0.6667, 0.7538)  1 Zn 3.07, 3 Tm 3.44, 6 Tb 3.44
Tb (0.6667, 0.3333, 0.2462)  1 Zn 3.07, 3 Tm 3.44, 6 Tb 3.44
Tb (0.6667, 0.3333, 0.4205)  1 Zn 3.07, 3 Tm 3.44, 6 Tb 3.44
Tm (0.0000, 0.0000, 0.5000)  6 Tb 3.44, 6 Tm 3.44
Tm (0.3333, 0.6667, 0.1667)  6 Tb 3.44, 6 Tm 3.44
Tm (0.6667, 0.3333, 0.8333)  6 Tb 3.44, 6 Tm 3.44
Zn (0.0000, 0.0000, 0.0000)  2 Tb 3.07, 6 Zn 3.44
Zn (0.3333, 0.6667, 0.6667)  2 Tb 3.07, 6 Zn 3.44
Zn (0.6667, 0.3333, 0.3333)  2 Tb 3.07, 6 Zn 3.44

No. 12
# Be3CrI

Crystalline Be3CrI at its relaxed geometry (PBE, Alexandria via LeMat-Bulk).

The value obtained for the spin magnetization is 4.03 μB per formula unit. For the polymorph energy (0 for the lowest one), the calculation gives 0 meV per atom. The calculated volume comes out at 19.2 A^3/atom. The calculation puts the formation energy without anion corrections at 1440 meV/atom.

Cell: 4.5772 4.5772 4.5772 Å, 90.00 90.00 90.00°
Closest atoms and distances in Å follow each position.
Sites, in units of the cell vectors:
Be (0.0000, 0.0000, 0.5000)  2 Cr 2.29
Be (0.0000, 0.5000, 0.0000)  2 Cr 2.29
Be (0.5000, 0.0000, 0.0000)  2 Cr 2.29
Cr (0.0000, 0.0000, 0.0000)  6 Be 2.29
I (0.5000, 0.5000, 0.5000)  12 Be 3.24

Record order is preserved below.
Density: 6.213 5.884 5.269 2.281 12.261 5.994 8.612 3.802 2.556 2.972 7.617 3.566 g/cm3